<i>
A plane-wave DFT calculation with GGA-PBE was carried out for a relaxed Mg3PdAu crystal.

Computed properties:
V in Å³ per cell: 761
Magnetization in μB/cell: 0.00

Lattice parameters (Å, degrees): 8.3040 6.6746 14.2412 90.00 105.41 90.00
Space group C2/c (No. 15)
Asymmetric unit:
Mg 0.0800 0.2041 0.1634 (multiplicity 8)
Mg 0.1558 0.4331 0.9655 (multiplicity 8)
Mg 0.1793 0.2408 0.6503 (multiplicity 8)
Pd 0.1425 0.0924 0.8388 (multiplicity 8)
Au 0.0000 0.0000 0.0000 (multiplicity 4)
Au 0.0000 0.4682 0.7500 (multiplicity 4)

=====

<ii>
A plane-wave DFT calculation with GGA-PBE was carried out for a relaxed Mg3PdAu crystal.

Computed properties:
V in Å³ per cell: 178
Magnetization in μB/cell: 0.00

Lattice parameters (Å, degrees): 4.7641 4.7692 8.1932 90.00 106.64 90.00
Space group P2_1 (No. 4)
Asymmetric unit:
Mg 0.0594 0.0000 0.1178 (multiplicity 2)
Mg 0.2495 0.9992 0.4986 (multiplicity 2)
Mg 0.4387 0.9986 0.8774 (multiplicity 2)
Pd 0.1474 0.5000 0.2960 (multiplicity 2)
Au 0.3487 0.4985 0.6975 (multiplicity 2)

=====

<iii>
A plane-wave DFT calculation with GGA-PBE was carried out for a relaxed Mg3PdAu crystal.

Computed properties:
V in Å³ per cell: 118
Magnetization in μB/cell: 0.00

Lattice parameters (Å, degrees): 4.9031 4.9031 4.9031 90.00 90.00 90.00
Space group Pm-3m (No. 221)
Asymmetric unit:
Mg 0.0000 0.0000 0.5000 (multiplicity 3)
Pd 0.0000 0.0000 0.0000 (multiplicity 1)
Au 0.5000 0.5000 0.5000 (multiplicity 1)

=====

Question: of the structures shown, which is the least stable? Reply: <iii>.